The following is a DFT calculation (PBE) of a geometry-optimized CaMg2BiP structure.

Unit cell a=4.918 b=4.918 c=5.458 alpha=90.00 beta=90.00 gamma=90.00
Space group P4/mmm (No. 123)
Inequivalent atoms, fractional coordinates:
Ca1 0.000 0.000 0.000 (multiplicity 1)
Mg1 0.000 0.500 0.500 (multiplicity 2)
Bi1 0.500 0.500 0.000 (multiplicity 1)
P1 0.000 0.000 0.500 (multiplicity 1)

As for the density of states at the Fermi level: 0.094 states/eV per atom. Its spin magnetization is 0.00 μB/cell. As for the calculated formation energy: -558 meV per atom.

=====

The following is a DFT calculation (PBE) of a geometry-optimized Na2La2In structure.

Unit cell a=7.647 b=7.647 c=5.422 alpha=90.00 beta=90.00 gamma=90.00
Space group P4/mbm (No. 127)
Inequivalent atoms, fractional coordinates:
Na1 0.130 0.370 0.000 (multiplicity 4)
La1 0.187 0.687 0.500 (multiplicity 4)
In1 0.000 0.000 0.000 (multiplicity 2)

As for the density of states at the Fermi level: 1.290 states/eV per atom. The energy above the most stable polymorph in this dataset is 66 meV per atom. Its spin magnetization is 0.00 μB/cell. As for the calculated formation energy: 106 meV per atom.

=====

The following is a DFT calculation (PBE) of a geometry-optimized Pb4S12Br structure.

Unit cell a=9.742 b=9.742 c=9.742 alpha=90.00 beta=90.00 gamma=90.00
Space group Im-3 (No. 204)
Inequivalent atoms, fractional coordinates:
Pb1 0.250 0.250 0.250 (multiplicity 8)
S1 0.000 0.141 0.398 (multiplicity 24)
Br1 0.000 0.000 0.000 (multiplicity 2)

As for the density of states at the Fermi level: 0.444 states/eV per atom. Its spin magnetization is 0.00 μB/cell. The calculation puts the formation energy (no corrections) at -0.066 eV/atom.

=====

The following is a DFT calculation (PBE) of a geometry-optimized Sr4SeI6 structure.

Unit cell a=10.892 b=10.892 c=7.968 alpha=90.00 beta=90.00 gamma=90.00
Space group P4_2/nmc (No. 137, origin choice 2)
Inequivalent atoms, fractional coordinates:
Sr1 0.001 0.750 0.081 (multiplicity 8)
Se1 0.250 0.750 0.250 (multiplicity 2)
I1 0.043 0.543 0.750 (multiplicity 8)
I2 0.250 0.250 0.152 (multiplicity 4)

As for the density of states at the Fermi level: 0.000 states/eV per atom. Its spin magnetization is 0.00 μB/cell. The calculation puts the formation energy (no corrections) at -1.714 eV/atom.

=====

The following is a DFT calculation (PBE) of a geometry-optimized Zr12Sn6Hg structure.

Unit cell a=13.7605 b=13.7605 c=7.8373 alpha=90.00 beta=90.00 gamma=120.00
Space group R-3 (No. 148, hexagonal axes)
Inequivalent atoms, fractional coordinates:
Zr1 0.0073 0.1358 0.1673 (multiplicity 18)
Zr2 0.0615 0.5705 0.1702 (multiplicity 18)
Sn1 0.0258 0.2680 0.8389 (multiplicity 18)
Hg1 0.0000 0.0000 0.5000 (multiplicity 3)

As for the density of states at the Fermi level: 1.023 states/eV per atom. Its spin magnetization is 0.00 μB/cell. As for the calculated formation energy: -351 meV per atom.

=====

The following is a DFT calculation (PBE) of a geometry-optimized Na4Bi2Sb3 structure.

Unit cell a=4.527 b=6.131 c=10.841 alpha=84.94 beta=78.10 gamma=68.43
Space group P-1 (No. 2)
Inequivalent atoms, fractional coordinates:
Na1 0.088 0.210 0.114 (multiplicity 2)
Na2 0.362 0.386 0.389 (multiplicity 2)
Bi1 0.308 0.185 0.701 (multiplicity 2)
Sb1 0.000 0.000 0.500 (multiplicity 1)
Sb2 0.367 0.648 0.113 (multiplicity 2)

As for the density of states at the Fermi level: 0.376 states/eV per atom. Its spin magnetization is 0.00 μB/cell. The calculation puts the formation energy (no corrections) at -0.240 eV/atom.

=====

The following is a DFT calculation (PBE) of a geometry-optimized MgHgH2W structure.

Unit cell a=3.849 b=3.849 c=5.882 alpha=90.00 beta=90.00 gamma=90.00
Space group P4/mmm (No. 123)
Inequivalent atoms, fractional coordinates:
Mg1 0.000 0.000 0.000 (multiplicity 1)
Hg1 0.000 0.000 0.500 (multiplicity 1)
H1 0.000 0.500 0.000 (multiplicity 2)
W1 0.500 0.500 0.500 (multiplicity 1)

As for the density of states at the Fermi level: 1.007 states/eV per atom. Its spin magnetization is 3.17 μB/cell.

=====

The following is a DFT calculation (PBE) of a geometry-optimized GaHS3 structure.

Unit cell a=19.135 b=3.618 c=7.099 alpha=90.00 beta=98.53 gamma=90.00
Space group C2/m (No. 12)
Inequivalent atoms, fractional coordinates:
Ga1 0.182 0.000 0.498 (multiplicity 4)
H1 0.124 0.500 0.946 (multiplicity 4)
S1 0.063 0.500 0.822 (multiplicity 4)
S2 0.105 0.500 0.572 (multiplicity 4)
S3 0.212 0.500 0.288 (multiplicity 4)

The energy above the most stable polymorph in this dataset is 0 meV per atom. Its spin magnetization is 0.00 μB/cell.

=====

The following is a DFT calculation (PBE) of a geometry-optimized ScTlInCl2 structure.

Unit cell a=5.593 b=5.593 c=5.718 alpha=90.00 beta=90.00 gamma=90.00
Space group P4/mmm (No. 123)
Inequivalent atoms, fractional coordinates:
Sc1 0.000 0.000 0.000 (multiplicity 1)
Tl1 0.500 0.500 0.500 (multiplicity 1)
In1 0.500 0.500 0.000 (multiplicity 1)
Cl1 0.000 0.500 0.500 (multiplicity 2)

As for the density of states at the Fermi level: 0.706 states/eV per atom. Its spin magnetization is 1.32 μB/cell. The calculation puts the formation energy (no corrections) at 0.057 eV/atom.

=====

The following is a DFT calculation (PBE) of a geometry-optimized NaBeC2 structure.

Unit cell a=3.713 b=3.713 c=12.159 alpha=90.00 beta=90.00 gamma=90.00
Space group I4_1/amd (No. 141, origin choice 2)
Inequivalent atoms, fractional coordinates:
Na1 0.000 0.250 0.375 (multiplicity 4)
Be1 0.000 0.250 0.875 (multiplicity 4)
C1 0.000 0.000 0.000 (multiplicity 8)

As for the density of states at the Fermi level: 0.320 states/eV per atom. Its spin magnetization is 0.00 μB/cell. As for the calculated formation energy: 1117 meV per atom.

=====

The following is a DFT calculation (PBE) of a geometry-optimized Pm4Sm3TmS8 structure.

Unit cell a=7.9986 b=7.9986 c=19.6417 alpha=90.00 beta=90.00 gamma=120.00
Space group R-3m (No. 166, hexagonal axes)
Inequivalent atoms, fractional coordinates:
Pm1 0.0000 0.0000 0.0000 (multiplicity 3)
Pm2 0.0000 0.5000 0.0000 (multiplicity 9)
Sm1 0.0000 0.5000 0.5000 (multiplicity 9)
Tm1 0.0000 0.0000 0.5000 (multiplicity 3)
S1 0.0000 0.0000 0.2492 (multiplicity 6)
S2 0.0084 0.5042 0.2471 (multiplicity 18)

As for the density of states at the Fermi level: 0.535 states/eV per atom. Its spin magnetization is 0.00 μB/cell. The calculation puts the formation energy (no corrections) at -2.012 eV/atom.

=====

The following is a DFT calculation (PBE) of a geometry-optimized TbTm2MgC structure.

Unit cell a=4.863 b=4.863 c=5.073 alpha=90.00 beta=90.00 gamma=90.00
Space group P4/mmm (No. 123)
Inequivalent atoms, fractional coordinates:
Tb1 0.000 0.000 0.000 (multiplicity 1)
Tm1 0.000 0.500 0.500 (multiplicity 2)
Mg1 0.500 0.500 0.000 (multiplicity 1)
C1 0.000 0.000 0.500 (multiplicity 1)

As for the density of states at the Fermi level: 1.190 states/eV per atom. Its spin magnetization is 0.00 μB/cell. As for the calculated formation energy: -206 meV per atom.

=====

Number 1: E_tot -0.254 Ry per atom. Number 2: E_tot -0.216 Ry per atom. Number 3: E_tot -0.290 Ry per atom. Number 4: E_tot -0.256 Ry per atom. Number 5: E_tot -0.517 Ry per atom. Number 6: E_tot -0.225 Ry per atom. Number 7: E_tot -0.232 Ry per atom. Number 8: E_tot -0.295 Ry per atom. Number 9: E_tot -0.218 Ry per atom. Number 10: E_tot -0.350 Ry per atom. Number 11: E_tot -0.472 Ry per atom. Number 12: E_tot -0.374 Ry per atom.